No. 1
# MgFeHgW

A relaxed MgFeHgW crystal (PBE, OQMD via LeMat-Bulk).

a b c (Å): 4.565 4.565 4.565
angles (deg): 60.00 60.00 60.00
Fractional coordinates of all 4 atoms:
Mg1 0.750 0.750 0.750
W1 0.000 0.000 0.000
Hg1 0.250 0.250 0.250
Fe1 0.500 0.500 0.500

## Properties
For the calculated volume, the calculation gives 67 Å³/cell. The calculation puts the energy above the most stable polymorph in this dataset at 346 meV/atom. Its total energy is -4.89 eV/atom.

---

No. 2
# Zr3Al2GaNiIr2

A relaxed Zr3Al2GaNiIr2 crystal (PBE, OQMD via LeMat-Bulk).

a b c (Å): 3.487 7.126 7.126
angles (deg): 119.87 90.00 90.00
Fractional coordinates of all 9 atoms:
Zr1 0.500 0.406 0.406
Zr2 0.500 0.999 0.598
Zr3 0.500 0.598 0.999
Ir1 0.000 0.665 0.328
Ir2 0.000 0.328 0.665
Al1 0.000 0.250 0.002
Al2 0.000 0.002 0.250
Ga1 0.000 0.750 0.750
Ni1 0.500 0.003 0.003

## Properties
For the calculated volume, the calculation gives 154 Å³/cell. Its total energy is -7.42 eV/atom.

---

No. 3
# Na2Ga4AgPd

A relaxed Na2Ga4AgPd crystal (PBE, OQMD via LeMat-Bulk).

a b c (Å): 7.236 5.404 5.404
angles (deg): 47.62 90.00 90.00
Fractional coordinates of all 8 atoms:
Na1 0.500 0.430 0.430
Na2 0.000 0.571 0.571
Ag1 0.000 0.284 0.284
Ga1 0.797 0.861 0.861
Ga2 0.203 0.861 0.861
Ga3 0.314 0.139 0.139
Ga4 0.686 0.139 0.139
Pd1 0.500 0.715 0.715

## Properties
For the calculated volume, the calculation gives 156 Å³/cell. Its total energy is -3.08 eV/atom.

---

Q: Number 1 is which compound?
A: MgFeHgW

---

Repeat the second record exactly.
# Zr3Al2GaNiIr2

A relaxed Zr3Al2GaNiIr2 crystal (PBE, OQMD via LeMat-Bulk).

a b c (Å): 3.487 7.126 7.126
angles (deg): 119.87 90.00 90.00
Fractional coordinates of all 9 atoms:
Zr1 0.500 0.406 0.406
Zr2 0.500 0.999 0.598
Zr3 0.500 0.598 0.999
Ir1 0.000 0.665 0.328
Ir2 0.000 0.328 0.665
Al1 0.000 0.250 0.002
Al2 0.000 0.002 0.250
Ga1 0.000 0.750 0.750
Ni1 0.500 0.003 0.003

## Properties
For the calculated volume, the calculation gives 154 Å³/cell. Its total energy is -7.42 eV/atom.

---

Q: Which of these has the highest calculated volume?
A: Na2Ga4AgPd

---

Repeat the third record exactly.
# Na2Ga4AgPd

A relaxed Na2Ga4AgPd crystal (PBE, OQMD via LeMat-Bulk).

a b c (Å): 7.236 5.404 5.404
angles (deg): 47.62 90.00 90.00
Fractional coordinates of all 8 atoms:
Na1 0.500 0.430 0.430
Na2 0.000 0.571 0.571
Ag1 0.000 0.284 0.284
Ga1 0.797 0.861 0.861
Ga2 0.203 0.861 0.861
Ga3 0.314 0.139 0.139
Ga4 0.686 0.139 0.139
Pd1 0.500 0.715 0.715

## Properties
For the calculated volume, the calculation gives 156 Å³/cell. Its total energy is -3.08 eV/atom.